A plane-wave DFT calculation with PBE was carried out for a geometry-optimized ErMgInBr6 structure.

Calculated values
Crystal system   trigonal
Calculated total energy   -3.575 eV per atom
Space group   P-31c (163)

a = 7.1279 Å, b = 7.1279 Å, c = 14.5487 Å
α = 90.00°, β = 90.00°, γ = 120.00°
Fractional coordinates of all 18 atoms:
1 Br 0.3665 0.3750 0.3584
2 Br 0.6250 0.9915 0.3584
3 Br 0.0085 0.6335 0.3584
4 Br 0.3665 0.9915 0.1416
5 Br 0.3750 0.3665 0.8584
6 Br 0.3750 0.0085 0.6416
7 Br 0.6335 0.0085 0.8584
8 Br 0.6335 0.6250 0.6416
9 Br 0.9915 0.3665 0.6416
10 Br 0.6250 0.6335 0.1416
11 Br 0.0085 0.3750 0.1416
12 Br 0.9915 0.6250 0.8584
13 In 0.0000 0.0000 0.0000
14 In 0.0000 0.0000 0.5000
15 Er 0.6667 0.3333 0.2500
16 Er 0.3333 0.6667 0.7500
17 Mg 0.6667 0.3333 0.7500
18 Mg 0.3333 0.6667 0.2500